# LiMnIrW | the Alexandria database | PBE | optimized geometry
# energy relative to the elements	-0.030	eV per atom
data_LiMnIrW
_symmetry_space_group_name_H-M 'F -4 3 m'
_symmetry_Int_Tables_number 216
_symmetry_space_group_name_Hall 'F -4 2 3'
_cell_length_a 5.982
_cell_length_b 5.982
_cell_length_c 5.982
_cell_angle_alpha 90.00
_cell_angle_beta 90.00
_cell_angle_gamma 90.00
loop_
_atom_site_label
_atom_site_fract_x
_atom_site_fract_y
_atom_site_fract_z
Li1 0.000 0.000 0.000
Mn1 0.250 0.250 0.250
Ir1 0.250 0.250 0.750
W1 0.000 0.000 0.500

***

# Dy6Hg3SeS2 | the Alexandria database | PBE | optimized geometry
# E_form (uncorrected)	-112.59	kJ per mole of atoms
data_Dy6Hg3SeS2
_symmetry_space_group_name_H-M 'C 1 2/m 1'
_symmetry_Int_Tables_number 12
_symmetry_space_group_name_Hall '-C 2y'
_cell_length_a 6.768
_cell_length_b 11.717
_cell_length_c 7.896
_cell_angle_alpha 90.00
_cell_angle_beta 106.61
_cell_angle_gamma 90.00
loop_
_atom_site_label
_atom_site_fract_x
_atom_site_fract_y
_atom_site_fract_z
Dy1 0.230 0.000 0.215
Dy2 0.244 0.329 0.220
Hg1 0.000 0.000 0.500
Hg2 0.000 0.340 0.500
Se1 0.000 0.500 0.000
S1 0.000 0.168 0.000

***

# Ce2C3 | the Alexandria database | PBE | optimized geometry
# energy relative to the elements	-0.255	eV per atom
data_Ce2C3
_symmetry_space_group_name_H-M 'I -4 3 d'
_symmetry_Int_Tables_number 220
_symmetry_space_group_name_Hall 'I -4bd 2c 3'
_cell_length_a 8.406
_cell_length_b 8.406
_cell_length_c 8.406
_cell_angle_alpha 90.00
_cell_angle_beta 90.00
_cell_angle_gamma 90.00
loop_
_atom_site_label
_atom_site_fract_x
_atom_site_fract_y
_atom_site_fract_z
Ce1 0.050 0.450 0.550
C1 0.000 0.250 0.793

***

# AcPuO5 | the Alexandria database | PBE | optimized geometry
# E_form (uncorrected)	-261.77	kJ per mole of atoms
data_AcPuO5
_symmetry_space_group_name_H-M 'C 1 2/c 1'
_symmetry_Int_Tables_number 15
_symmetry_space_group_name_Hall '-C 2yc'
_cell_length_a 6.649
_cell_length_b 9.951
_cell_length_c 8.299
_cell_angle_alpha 90.00
_cell_angle_beta 113.28
_cell_angle_gamma 90.00
loop_
_atom_site_label
_atom_site_fract_x
_atom_site_fract_y
_atom_site_fract_z
Ac1 0.000 0.189 0.250
Pu1 0.000 0.500 0.000
O1 0.000 0.441 0.250
O2 0.077 0.306 0.554
O3 0.195 0.030 0.911

***

# TcMoRh2 | the Alexandria database | PBE | optimized geometry
# energy relative to the elements	0.558	eV per atom
# ΔE to the lowest computed polymorph	767.4	meV per atom
data_TcMoRh2
_symmetry_space_group_name_H-M 'I -4 2 d'
_symmetry_Int_Tables_number 122
_symmetry_space_group_name_Hall 'I -4 2bw'
_cell_length_a 6.933
_cell_length_b 6.933
_cell_length_c 5.341
_cell_angle_alpha 90.00
_cell_angle_beta 90.00
_cell_angle_gamma 90.00
loop_
_atom_site_label
_atom_site_fract_x
_atom_site_fract_y
_atom_site_fract_z
Tc1 0.000 0.000 0.000
Mo1 0.000 0.000 0.500
Rh1 0.243 0.250 0.625

***

# KNa2MnV | the Alexandria database | PBE | optimized geometry
# energy relative to the elements	0.741	eV per atom
data_KNa2MnV
_symmetry_space_group_name_H-M 'P 4/m m m'
_symmetry_Int_Tables_number 123
_symmetry_space_group_name_Hall '-P 4 2'
_cell_length_a 5.902
_cell_length_b 5.902
_cell_length_c 4.467
_cell_angle_alpha 90.00
_cell_angle_beta 90.00
_cell_angle_gamma 90.00
loop_
_atom_site_label
_atom_site_fract_x
_atom_site_fract_y
_atom_site_fract_z
K1 0.000 0.000 0.000
Na1 0.000 0.500 0.500
Mn1 0.500 0.500 0.500
V1 0.500 0.500 0.000

***

# Tl2Cu2Sb | the Alexandria database | PBE | optimized geometry
# E_form (uncorrected)	23.22	kJ per mole of atoms
# ΔE to the lowest computed polymorph	44.8	meV per atom
data_Tl2Cu2Sb
_symmetry_space_group_name_H-M 'I 4/m m m'
_symmetry_Int_Tables_number 139
_symmetry_space_group_name_Hall '-I 4 2'
_cell_length_a 3.421
_cell_length_b 3.421
_cell_length_c 20.226
_cell_angle_alpha 90.00
_cell_angle_beta 90.00
_cell_angle_gamma 90.00
loop_
_atom_site_label
_atom_site_fract_x
_atom_site_fract_y
_atom_site_fract_z
Tl1 0.000 0.000 0.127
Cu1 0.000 0.500 0.250
Sb1 0.000 0.000 0.500

***

# MnGaCl2 | the Alexandria database | PBE | optimized geometry
# E_form (uncorrected)	-14.97	kJ per mole of atoms
# ΔE to the lowest computed polymorph	0.0	meV per atom
data_MnGaCl2
_symmetry_space_group_name_H-M 'F m -3 m'
_symmetry_Int_Tables_number 225
_symmetry_space_group_name_Hall '-F 4 2 3'
_cell_length_a 6.897
_cell_length_b 6.897
_cell_length_c 6.897
_cell_angle_alpha 90.00
_cell_angle_beta 90.00
_cell_angle_gamma 90.00
loop_
_atom_site_label
_atom_site_fract_x
_atom_site_fract_y
_atom_site_fract_z
Mn1 0.000 0.000 0.000
Ga1 0.000 0.000 0.500
Cl1 0.250 0.250 0.250

***

# Tb3CeHo2As6 | the Alexandria database | PBE | optimized geometry
# energy relative to the elements	-1.522	eV per atom
data_Tb3CeHo2As6
_symmetry_space_group_name_H-M 'C 1 2/m 1'
_symmetry_Int_Tables_number 12
_symmetry_space_group_name_Hall '-C 2y'
_cell_length_a 7.164
_cell_length_b 12.407
_cell_length_c 7.171
_cell_angle_alpha 90.00
_cell_angle_beta 109.46
_cell_angle_gamma 90.00
loop_
_atom_site_label
_atom_site_fract_x
_atom_site_fract_y
_atom_site_fract_z
Tb1 0.000 0.000 0.000
Tb2 0.000 0.334 0.000
Ce1 0.000 0.500 0.500
Ho1 0.000 0.167 0.500
As1 0.248 0.000 0.748
As2 0.250 0.167 0.251

***

# FeCu2HW | the Alexandria database | PBE | optimized geometry
# ΔE to the lowest computed polymorph	0.0	meV per atom
data_FeCu2HW
_symmetry_space_group_name_H-M 'P 4/m m m'
_symmetry_Int_Tables_number 123
_symmetry_space_group_name_Hall '-P 4 2'
_cell_length_a 3.626
_cell_length_b 3.626
_cell_length_c 4.048
_cell_angle_alpha 90.00
_cell_angle_beta 90.00
_cell_angle_gamma 90.00
loop_
_atom_site_label
_atom_site_fract_x
_atom_site_fract_y
_atom_site_fract_z
Fe1 0.000 0.000 0.000
Cu1 0.000 0.500 0.500
H1 0.000 0.000 0.500
W1 0.500 0.500 0.000

***

Density of states at the Fermi level for every record listed, in sequence, given in states/eV/cell: 19.4, 11.5, 43.5, 0.0, 18.0, 4.1, 3.7, 21.1, 11.5, 3.3.
Total energy for every record listed, in sequence, given in eV/atom: -8.254, -4.522, -8.163, -8.889, -8.417, -3.664, -3.169, -4.128, -6.261, -6.153.